No. 1
Below is GeSbI2 after structural relaxation, with properties calculated at the PBE level.

energy relative to the elements, uncorrected: 0.23 eV per atom
energy above the lowest structure with this stoichiometry: 0.00 eV per formula unit

Cell lengths 10.6916, 10.6916, 10.6916 Å; angles 20.93, 20.93, 20.93 degrees
Fractional coordinates of all 4 atoms:
Ge 0.0000 0.0000 0.0000
Sb 0.5000 0.5000 0.5000
I 0.4001 0.4001 0.4001
I 0.5999 0.5999 0.5999

***

No. 2
Below is Tb4Dy2Tl3O2 after structural relaxation, with properties calculated at the PBE level.

energy relative to the elements, uncorrected: -1.24 eV per atom

Cell lengths 12.8739, 12.8739, 12.8739 Å; angles 158.94, 158.94, 29.96 degrees
Fractional coordinates of all 11 atoms:
Tb 0.0856 0.5856 0.5000
Tb 0.4144 0.9144 0.5000
Tb 0.5856 0.0856 0.5000
Tb 0.9144 0.4144 0.5000
Dy 0.1966 0.1966 0.0000
Dy 0.8034 0.8034 0.0000
Tl 0.3232 0.3232 0.0000
Tl 0.5000 0.5000 0.0000
Tl 0.6768 0.6768 0.0000
O 0.1022 0.1022 0.0000
O 0.8978 0.8978 0.0000

***

No. 3
Below is Pu3IBr7 after structural relaxation, with properties calculated at the PBE level.

energy relative to the elements, uncorrected: -1.48 eV per atom

Cell lengths 8.1974, 8.1974, 10.0748 Å; angles 124.01, 124.01, 64.33 degrees
Fractional coordinates of all 11 atoms:
Pu 0.0000 0.0000 0.0000
Pu 0.0000 0.4958 0.4950
Pu 0.4958 0.0000 0.4950
I 0.6975 0.6975 0.6731
Br 0.2140 0.2140 0.6500
Br 0.2147 0.7434 0.1810
Br 0.2502 0.7813 0.8124
Br 0.2799 0.2799 0.3214
Br 0.7434 0.2147 0.1810
Br 0.7813 0.2502 0.8124
Br 0.7823 0.7823 0.3445

***

No. 4
Below is Te5C after structural relaxation, with properties calculated at the PBE level.

energy relative to the elements, uncorrected: 0.89 eV per atom
energy above the lowest structure with this stoichiometry: 1.50 eV per formula unit

Cell lengths 6.1035, 10.3088, 10.3088 Å; angles 17.25, 90.00, 90.00 degrees
Fractional coordinates of all 6 atoms:
Te 0.0000 0.0000 0.0000
Te 0.0000 0.1719 0.1719
Te 0.5000 0.1335 0.1335
Te 0.5000 0.4281 0.4281
Te 0.5000 0.7879 0.7879
C 0.0000 0.5678 0.5678

***

No. 5
Below is ZrCr2Co2 after structural relaxation, with properties calculated at the PBE level.

energy above the lowest structure with this stoichiometry: 0.34 eV per formula unit

Cell lengths 7.1515, 7.1515, 2.5677 Å; angles 90.00, 90.00, 90.00 degrees
Fractional coordinates of all 10 atoms:
Zr 0.0000 0.0000 0.0000
Zr 0.5000 0.5000 0.0000
Cr 0.1147 0.3853 0.0000
Cr 0.3853 0.8853 0.0000
Cr 0.6147 0.1147 0.0000
Cr 0.8853 0.6147 0.0000
Co 0.1746 0.6746 0.5000
Co 0.3254 0.1746 0.5000
Co 0.6746 0.8254 0.5000
Co 0.8254 0.3254 0.5000

***

No. 6
Below is AlBiAsSe2 after structural relaxation, with properties calculated at the PBE level.

energy relative to the elements, uncorrected: 0.07 eV per atom
energy above the lowest structure with this stoichiometry: 0.00 eV per formula unit

Cell lengths 4.9331, 4.9331, 4.8955 Å; angles 90.00, 90.00, 90.00 degrees
Fractional coordinates of all 5 atoms:
Al 0.0000 0.0000 0.0000
Bi 0.5000 0.5000 0.5000
As 0.0000 0.0000 0.5000
Se 0.0000 0.5000 0.0000
Se 0.5000 0.0000 0.0000

***

No. 7
Below is CaSi3Pb after structural relaxation, with properties calculated at the PBE level.

energy relative to the elements, uncorrected: 1.21 eV per atom
energy above the lowest structure with this stoichiometry: 1.12 eV per formula unit

Cell lengths 5.2778, 5.2778, 5.2778 Å; angles 90.00, 90.00, 90.00 degrees
Fractional coordinates of all 5 atoms:
Ca 0.0000 0.0000 0.0000
Si 0.0000 0.0000 0.5000
Si 0.0000 0.5000 0.0000
Si 0.5000 0.0000 0.0000
Pb 0.5000 0.5000 0.5000

***

No. 8
Below is Nd2Cu4Si3Ge after structural relaxation, with properties calculated at the PBE level.

energy relative to the elements, uncorrected: -0.53 eV per atom

Cell lengths 4.1226, 4.1226, 9.9764 Å; angles 90.00, 90.00, 90.00 degrees
Fractional coordinates of all 10 atoms:
Nd 0.0000 0.5000 0.2455
Nd 0.5000 0.0000 0.7545
Cu 0.0000 0.0000 0.0000
Cu 0.0000 0.5000 0.6343
Cu 0.5000 0.0000 0.3657
Cu 0.5000 0.5000 0.0000
Si 0.0000 0.5000 0.8723
Si 0.5000 0.0000 0.1277
Si 0.5000 0.5000 0.5000
Ge 0.0000 0.0000 0.5000

***

No. 9
Below is CoHRu2W after structural relaxation, with properties calculated at the PBE level.

energy above the lowest structure with this stoichiometry: 0.00 eV per formula unit

Cell lengths 3.8856, 3.8856, 3.7140 Å; angles 90.00, 90.00, 90.00 degrees
Fractional coordinates of all 5 atoms:
Co 0.0000 0.0000 0.0000
H 0.0000 0.0000 0.5000
Ru 0.0000 0.5000 0.5000
Ru 0.5000 0.0000 0.5000
W 0.5000 0.5000 0.0000

***

No. 10
Below is SrThCd4 after structural relaxation, with properties calculated at the PBE level.

energy above the lowest structure with this stoichiometry: 0.00 eV per formula unit

Cell lengths 3.5173, 5.1457, 8.9115 Å; angles 90.00, 90.00, 90.00 degrees
Fractional coordinates of all 6 atoms:
Sr 0.0000 0.0000 0.0000
Th 0.0000 0.5000 0.5000
Cd 0.5000 0.0000 0.3355
Cd 0.5000 0.0000 0.6645
Cd 0.5000 0.5000 0.1687
Cd 0.5000 0.5000 0.8313

***

No. 11
Below is Zn2BPF after structural relaxation, with properties calculated at the PBE level.

energy relative to the elements, uncorrected: 0.64 eV per atom
energy above the lowest structure with this stoichiometry: 0.25 eV per formula unit

Cell lengths 4.2840, 4.2840, 4.0760 Å; angles 90.00, 90.00, 90.00 degrees
Fractional coordinates of all 5 atoms:
Zn 0.0000 0.5000 0.0000
Zn 0.5000 0.0000 0.0000
B 0.0000 0.0000 0.5000
P 0.5000 0.5000 0.5000
F 0.0000 0.0000 0.0000

***

No. 12
Below is Rb2GeS after structural relaxation, with properties calculated at the PBE level.

energy relative to the elements, uncorrected: -0.21 eV per atom
energy above the lowest structure with this stoichiometry: 0.00 eV per formula unit

Cell lengths 9.2057, 9.2057, 9.2057 Å; angles 94.32, 94.32, 148.13 degrees
Fractional coordinates of all 8 atoms:
Rb 0.3750 0.1798 0.3048
Rb 0.8202 0.1250 0.1952
Rb 0.8750 0.0702 0.6952
Rb 0.9298 0.6250 0.8048
Ge 0.2500 0.7500 0.5000
Ge 0.5000 0.5000 0.0000
S 0.0000 0.0000 0.0000
S 0.7500 0.2500 0.5000

***

What are the magnetization values for these records? In order: 0.0000 0.0000 1.4545 0.0000 0.0000 0.0000 0.1162 0.0000 0.0000 0.0000 0.0000 0.1975 μB/atom.
What are the calculated total energy values for these records? In order: -2.733 -5.311 -6.594 -3.263 -8.271 -3.783 -3.183 -5.209 -8.430 -2.366 -2.657 -2.878 eV/atom.